No. 1
The following is a GGA-PBE calculation of a relaxed Tl2OsCl crystal, from Alexandria via LeMat-Bulk.

Cell: 8.160 8.160 8.160 Å, 158.16 147.58 39.43°
Element x y z (fractional)
Tl 0.078 0.078 0.000
Tl 0.741 0.241 0.500
Os 0.282 0.782 0.500
Cl 0.400 0.400 0.000

No. 2
The following is a GGA-PBE calculation of a relaxed SrBeAs2Se crystal, from Alexandria via LeMat-Bulk.

Cell: 4.513 4.513 5.428 Å, 90.00 90.00 90.00°
Element x y z (fractional)
As 0.500 0.000 0.000
As 0.000 0.500 0.000
Be 0.000 0.000 0.000
Se 0.000 0.000 0.500
Sr 0.500 0.500 0.500

| no. | uncorrected formation energy (meV/atom) | N(E_F) (states/eV/cell) | volume (Å³ per cell) |
| --- | --- | --- | --- |
| 1 | 491 | 1.86 | 108.2 |
| 2 | -328 | 3.38 | 110.5 |